1.
Entry from the Alexandria database: an optimized crystal structure of Ac4Ga2Rh (GGA-PBE).

The density of states at the Fermi level comes out at 0.685 states/eV per atom. The calculation puts the volume at 509 Å³ per cell. As for the formation enthalpy at 0 K: -0.329 eV per atom. For the size of the total moment, the calculation gives 0.00 μB/f.u. Its total energy is -64.278 eV per cell. As for the offset from the most stable computed form: 0.077 eV per atom.

The structure belongs to space group I4/mmm (No. 139); the cell edges are 5.640, 5.640 and 16.001 Å and the angles 90.00°, 90.00° and 90.00°. The asymmetric unit holds Ac at (0.000, 0.000, 0.188), Ac at (0.000, 0.500, 0.000), Ga at (0.000, 0.000, 0.381) and Rh at (0.000, 0.000, 0.000).

***

2.
Entry from the Alexandria database: an optimized crystal structure of AcGa3Rh3 (GGA-PBE).

The density of states at the Fermi level comes out at 0.603 states/eV per atom. The calculation puts the volume at 310 Å³ per cell. As for the formation enthalpy at 0 K: -0.396 eV per atom. For the size of the total moment, the calculation gives 0.00 μB/f.u. Its total energy is -76.032 eV per cell. As for the offset from the most stable computed form: 0.100 eV per atom.

The structure belongs to space group Pm-3n (No. 223); the cell edges are 6.768, 6.768 and 6.768 Å and the angles 90.00°, 90.00° and 90.00°. The asymmetric unit holds Ac at (0.000, 0.000, 0.000), Ga at (0.000, 0.250, 0.500) and Rh at (0.000, 0.500, 0.250).